1.
The following is a GGA-PBE calculation of a relaxed RbBa2CeCl8 crystal, from Alexandria via LeMat-Bulk.

CIF file:
```
data_RbBa2CeCl8
_chemical_formula_sum 'Rb1 Ba2 Ce1 Cl8'
_symmetry_space_group_name_H-M 'P -1'
_symmetry_Int_Tables_number 2
_cell_length_a 6.9330
_cell_length_b 7.0375
_cell_length_c 9.6219
_cell_angle_alpha 90.02
_cell_angle_beta 90.04
_cell_angle_gamma 90.18
loop_
_symmetry_equiv_pos_as_xyz
'x,y,z'
'-x,-y,-z'
loop_
_atom_site_label
_atom_site_type_symbol
_atom_site_fract_x
_atom_site_fract_y
_atom_site_fract_z
Rb1 Rb 0.0000 0.0000 0.0000
Ba1 Ba 0.5003 0.5001 0.2500
Ce1 Ce 0.0000 0.0000 0.5000
Cl1 Cl 0.2144 0.8355 0.2906
Cl2 Cl 0.2153 0.8365 0.7096
Cl3 Cl 0.2628 0.3096 0.4997
Cl4 Cl 0.2820 0.3537 0.0000
```

Density of states at the Fermi level in states/eV per cell: 7.88

---

2.
The following is a GGA-PBE calculation of a relaxed HoCl2 crystal, from Alexandria via LeMat-Bulk.

CIF file:
```
data_HoCl2
_chemical_formula_sum 'Ho3 Cl6'
_symmetry_space_group_name_H-M 'R -3 m'
_symmetry_Int_Tables_number 166
_symmetry_space_group_name_Hall '-R 3 2"'
_cell_length_a 3.7046
_cell_length_b 3.7046
_cell_length_c 21.3087
_cell_angle_alpha 90.00
_cell_angle_beta 90.00
_cell_angle_gamma 120.00
loop_
_atom_site_label
_atom_site_type_symbol
_atom_site_fract_x
_atom_site_fract_y
_atom_site_fract_z
Ho1 Ho 0.0000 0.0000 0.0000
Cl1 Cl 0.0000 0.0000 0.2548
```

Density of states at the Fermi level in states/eV per cell: 4.38

---

3.
The following is a GGA-PBE calculation of a relaxed Ag5O crystal, from Alexandria via LeMat-Bulk.

CIF file:
```
data_Ag5O
_chemical_formula_sum 'Ag10 O2'
_symmetry_space_group_name_H-M 'C m m m'
_symmetry_Int_Tables_number 65
_symmetry_space_group_name_Hall '-C 2 2'
_cell_length_a 4.7162
_cell_length_b 13.9626
_cell_length_c 2.9928
_cell_angle_alpha 90.00
_cell_angle_beta 90.00
_cell_angle_gamma 90.00
loop_
_atom_site_label
_atom_site_type_symbol
_atom_site_fract_x
_atom_site_fract_y
_atom_site_fract_z
Ag1 Ag 0.0000 0.0000 0.0000
Ag2 Ag 0.0000 0.1914 0.5000
Ag3 Ag 0.0000 0.3700 0.0000
O1 O 0.0000 0.5000 0.5000
```

Density of states at the Fermi level in states/eV per cell: 3.85

---

Energy relative to the elements, uncorrected (computed, meV/atom): -2303 -1898 73
Theoretical density (computed, g/cm³): 2.773 4.639 9.358